[1]
The following is a PBE calculation of an optimized crystal structure of TeC5, from Alexandria via LeMat-Bulk.

Output
* energy above the most stable polymorph in this dataset: 953 meV per atom
* space-group type: Amm2, No. 38
* magnetic moment: 0.14 μB per formula unit
* E_form (uncorrected): 2.09 eV per atom

a = 9.745 Å, b = 9.745 Å, c = 2.903 Å
α = 90.00°, β = 90.00°, γ = 161.91°
Sites, in units of the cell vectors:
C 0.805 0.195 0.500
C 0.348 0.652 0.500
C 0.890 0.110 0.000
C 0.388 0.612 0.000
C 0.804 0.196 0.000
Te 0.098 0.902 0.500


[2]
The following is a PBE calculation of an optimized crystal structure of HfScCuTc, from Alexandria via LeMat-Bulk.

Output
* energy above the most stable polymorph in this dataset: 33 meV per atom
* space-group type: F-43m, No. 216
* magnetic moment: 0.00 μB per formula unit
* energy relative to the elements: -29 kJ/mol of atoms

a = 4.594 Å, b = 4.594 Å, c = 4.594 Å
α = 60.00°, β = 60.00°, γ = 60.00°
Sites, in units of the cell vectors:
Tc 0.250 0.250 0.250
Cu 0.750 0.750 0.750
Sc 0.500 0.500 0.500
Hf 0.000 0.000 0.000


[3]
The following is a PBE calculation of an optimized crystal structure of CaZrSc4, from Alexandria via LeMat-Bulk.

Output
* space-group type: F-43m, No. 216
* magnetic moment: 2.49 μB per formula unit
* energy relative to the elements: 32 kJ/mol of atoms

a = 6.139 Å, b = 6.139 Å, c = 6.139 Å
α = 60.00°, β = 60.00°, γ = 60.00°
Sites, in units of the cell vectors:
Sc 0.378 0.378 0.378
Sc 0.378 0.867 0.378
Sc 0.867 0.378 0.378
Sc 0.378 0.378 0.867
Zr 0.750 0.750 0.750
Ca 0.000 0.000 0.000


[4]
The following is a PBE calculation of an optimized crystal structure of SmAs3, from Alexandria via LeMat-Bulk.

Output
* space-group type: Pmm2, No. 25
* magnetic moment: 0.00 μB per formula unit
* energy relative to the elements: -58 kJ/mol of atoms

a = 3.995 Å, b = 4.305 Å, c = 5.806 Å
α = 90.00°, β = 90.00°, γ = 90.00°
Sites, in units of the cell vectors:
As 0.500 0.463 0.500
As 0.500 0.270 0.000
As 0.000 0.850 0.500
Sm 0.000 0.750 0.000


[5]
The following is a PBE calculation of an optimized crystal structure of Nd2ErAl6, from Alexandria via LeMat-Bulk.

Output
* space-group type: P6/mmm, No. 191
* magnetic moment: 0.00 μB per formula unit
* energy relative to the elements: -45 kJ/mol of atoms

a = 3.616 Å, b = 7.961 Å, c = 7.961 Å
α = 120.00°, β = 90.00°, γ = 90.00°
Sites, in units of the cell vectors:
Al 0.500 0.331 0.000
Al 0.500 0.000 0.669
Al 0.500 0.669 0.000
Al 0.500 0.331 0.331
Al 0.500 0.000 0.331
Al 0.500 0.669 0.669
Er 0.000 0.000 0.000
Nd 0.000 0.667 0.333
Nd 0.000 0.333 0.667


[6]
The following is a PBE calculation of an optimized crystal structure of TmTiCuRh, from Alexandria via LeMat-Bulk.

Output
* space-group type: F-43m, No. 216
* magnetic moment: 0.09 μB per formula unit
* energy relative to the elements: -40 kJ/mol of atoms

a = 4.607 Å, b = 4.607 Å, c = 4.607 Å
α = 60.00°, β = 60.00°, γ = 60.00°
Sites, in units of the cell vectors:
Rh 0.000 0.000 0.000
Ti 0.250 0.250 0.250
Cu 0.500 0.500 0.500
Tm 0.750 0.750 0.750